A geometry-optimized Ti2NbAl2 structure. Source: Alexandria via LeMat-Bulk, functional GGA-PBE.

Unit cell a=7.7288 b=7.7288 c=2.8356 alpha=90.00 beta=90.00 gamma=90.00
Space group P4/mbm (No. 127)
Unique sites:
Ti1 0.1189 0.3811 0.0000 (multiplicity 4)
Nb1 0.0000 0.0000 0.0000 (multiplicity 2)
Al1 0.1789 0.6789 0.5000 (multiplicity 4)

Properties
Final energy (eV/atom): -6.727
Energy of formation from the pure elements (eV per atom): -0.058



A geometry-optimized TiNb2Al structure. Source: Alexandria via LeMat-Bulk, functional GGA-PBE.

Unit cell a=6.5174 b=6.5174 c=6.5174 alpha=90.00 beta=90.00 gamma=90.00
Space group F-43m (No. 216)
Unique sites:
Ti1 0.0000 0.0000 0.0000 (multiplicity 4)
Nb1 0.0000 0.0000 0.5000 (multiplicity 4)
Nb2 0.2500 0.2500 0.7500 (multiplicity 4)
Al1 0.2500 0.2500 0.2500 (multiplicity 4)

Properties
Final energy (eV/atom): -8.127
Energy of formation from the pure elements (eV per atom): -0.182



A geometry-optimized TiNbAl3 structure. Source: Alexandria via LeMat-Bulk, functional GGA-PBE.

Unit cell a=4.7497 b=5.4082 c=6.8587 alpha=90.00 beta=110.27 gamma=90.00
Space group P2_1/m (No. 11)
Unique sites:
Ti1 0.0030 0.2500 0.0075 (multiplicity 2)
Nb1 0.3966 0.2500 0.7946 (multiplicity 2)
Al1 0.1924 0.0026 0.3847 (multiplicity 4)
Al2 0.3845 0.7500 0.7673 (multiplicity 2)

Properties
Final energy (eV/atom): -6.052
Energy of formation from the pure elements (eV per atom): -0.213